A plane-wave DFT calculation with PBE was carried out for crystalline Ba2NaIn4Sn3 at its relaxed geometry.

## Properties
Total magnetization in Bohr magnetons per cell: 0.00
Formation energy in eV per atom: -0.314
VASP energy in eV per atom: -3.13

Lattice parameters (Å, degrees): 5.021 5.021 12.848 90.00 90.00 90.00
Atoms (fractional coordinates):
Ba (0.000, 0.500, 0.242)
Ba (0.500, 0.000, 0.758)
Na (0.000, 0.000, 0.500)
In (0.000, 0.000, 0.000)
In (0.000, 0.500, 0.637)
In (0.500, 0.000, 0.363)
In (0.500, 0.500, 0.000)
Sn (0.000, 0.500, 0.866)
Sn (0.500, 0.000, 0.134)
Sn (0.500, 0.500, 0.500)